# 1
Cd2SiAg, relaxed, DFT PBEsol; crystal system = orthorhombic; total magnetic moment = 0.000 μB/cell; volume = 18.3 A^3/atom; formation energy (no corrections) = 0.19 eV/atom
1.0
-1.165 -1.904 2.061
3.635 -3.373 -1.062
1.515 3.098 3.718
Si Ag Cd
1 1 2
Direct
0.500 0.000 0.000
0.500 0.500 0.500
0.000 0.000 0.500
0.000 0.500 0.000

=====

# 2
LaSbRh, relaxed, DFT PBEsol; crystal system = hexagonal; total magnetic moment = 0.000 μB/cell; volume = 24.1 A^3/atom; formation energy (no corrections) = -0.93 eV/atom
1.0
-3.099 -1.281 2.386
-1.450 -2.672 -3.318
2.961 -1.555 3.010
La Sb Rh
1 1 1
Direct
0.500 0.000 0.000
0.000 0.667 0.333
0.000 0.333 0.667

=====

# 3
TaRe2Mo, relaxed, DFT PBEsol; crystal system = trigonal; total magnetic moment = 0.000 μB/cell; volume = 15.7 A^3/atom; ΔH_f (0 K) = 182 meV per atom; offset from the most stable computed form = 1.29 eV/f.u.
1.0
2.780 0.000 0.000
1.390 2.408 0.000
1.390 0.803 9.380
Mo Ta Re
1 1 2
Direct
0.254 0.254 0.237
0.498 0.498 0.505
0.002 0.002 0.993
0.745 0.745 0.765

=====

# 4
Li2ZnNi, relaxed, DFT PBEsol; crystal system = orthorhombic; total magnetic moment = 0.000 μB/cell; volume = 12.3 A^3/atom; ΔH_f (0 K) = -40 meV per atom
1.0
-1.221 2.465 -0.495
-3.809 -1.870 0.084
2.263 0.400 4.301
Li Zn Ni
2 1 1
Direct
0.759 0.259 0.518
0.998 0.998 0.996
0.240 0.740 0.481
0.503 0.503 0.005

=====

# 5
Cr2Ge2Pb, relaxed, DFT PBEsol; crystal system = tetragonal; total magnetic moment = 5.137 μB/cell; volume = 18.1 A^3/atom; ΔH_f (0 K) = 313 meV per atom
1.0
-2.957 -3.090 -0.166
0.931 -1.107 4.028
-2.401 5.277 -0.269
Cr Ge Pb
2 2 1
Direct
0.250 0.750 0.500
0.750 0.250 0.500
0.628 0.628 0.257
0.372 0.372 0.743
0.000 0.000 0.000

=====

# 6
ZrCrSe2N, relaxed, DFT PBEsol; crystal system = tetragonal; total magnetic moment = 1.372 μB/cell; volume = 16.6 A^3/atom; formation energy (no corrections) = -0.32 eV/atom
1.0
3.507 0.000 0.000
0.000 4.861 0.000
0.000 0.000 4.861
Cr N Se Zr
1 1 2 1
Direct
0.000 0.000 0.000
0.500 0.000 0.000
0.000 0.500 0.000
0.000 0.000 0.500
0.500 0.500 0.500

=====

# 7
NiRu3, relaxed, DFT PBEsol; crystal system = orthorhombic; total magnetic moment = 0.000 μB/cell; volume = 12.7 A^3/atom; ΔH_f (0 K) = 91 meV per atom
1.0
2.680 0.000 0.000
0.000 4.158 0.000
0.000 0.000 4.551
Ru Ni
3 1
Direct
0.500 0.000 0.501
0.500 0.500 0.842
0.000 0.500 0.324
0.000 0.000 0.000

=====

# 8
YAu2Cl, relaxed, DFT PBEsol; crystal system = monoclinic; total magnetic moment = 0.000 μB/cell; volume = 19.7 A^3/atom; formation energy (no corrections) = -0.80 eV/atom
1.0
-0.128 -3.082 -2.312
3.123 -1.445 1.754
-3.146 -2.475 3.474
Au Y Cl
2 1 1
Direct
0.500 0.500 0.000
0.000 0.000 0.000
0.000 0.500 0.500
0.500 0.000 0.500

=====

# 9
LaYSc, relaxed, DFT PBEsol; crystal system = tetragonal; total magnetic moment = 0.001 μB/cell; volume = 29.4 A^3/atom; ΔH_f (0 K) = 63 meV per atom; offset from the most stable computed form = 0.03 eV/f.u.
1.0
-3.428 0.488 -0.541
-0.163 -3.052 -1.716
0.342 -2.103 7.288
Sc La Y
1 1 1
Direct
0.332 0.332 0.664
0.994 0.994 0.989
0.674 0.674 0.347

=====

# 10
LiZn3F, relaxed, DFT PBEsol; crystal system = cubic; total magnetic moment = 0.000 μB/cell; volume = 18.0 A^3/atom; formation energy (no corrections) = 0.13 eV/atom
1.0
4.479 0.000 0.000
0.000 4.479 0.000
0.000 0.000 4.479
Zn Li F
3 1 1
Direct
0.000 0.500 0.000
0.000 0.000 0.500
0.500 0.000 0.000
0.000 0.000 0.000
0.500 0.500 0.500

=====

# 11
CdOsS3, relaxed, DFT PBEsol; crystal system = cubic; total magnetic moment = 0.002 μB/cell; volume = 19.6 A^3/atom; formation energy (no corrections) = 0.39 eV/atom
1.0
4.612 0.000 0.000
0.000 4.612 0.000
0.000 0.000 4.612
S Cd Os
3 1 1
Direct
0.000 0.000 0.500
0.500 0.000 0.000
0.000 0.500 0.000
0.500 0.500 0.500
0.000 0.000 0.000

=====

# 12
In2AgCl, relaxed, DFT PBEsol; crystal system = cubic; total magnetic moment = 0.000 μB/cell; volume = 23.0 A^3/atom; formation energy (no corrections) = -0.14 eV/atom; offset from the most stable computed form = 0.47 eV/f.u.
1.0
5.070 0.000 0.000
2.535 4.391 0.000
2.535 1.464 4.140
Cl In Ag
1 2 1
Direct
0.000 0.000 0.000
0.750 0.750 0.750
0.250 0.250 0.250
0.500 0.500 0.500

=====

Number 1: total energy -2.68 eV per atom. Number 2: total energy -6.95 eV per atom. Number 3: total energy -12.56 eV per atom. Number 4: total energy -2.96 eV per atom. Number 5: total energy -6.56 eV per atom. Number 6: total energy -7.43 eV per atom. Number 7: total energy -9.08 eV per atom. Number 8: total energy -4.97 eV per atom. Number 9: total energy -6.20 eV per atom. Number 10: total energy -1.60 eV per atom. Number 11: total energy -4.93 eV per atom. Number 12: total energy -2.96 eV per atom.